Compound: Sr8In2Pb
Source: Alexandria
Functional: GGA-PBE
Structure: optimized geometry

a b c (Å): 20.3047 5.8165 8.2558
angles (deg): 90.00 110.44 90.00
Closest atoms and distances in Å follow each position.
Space group C2/m (No. 12)
Unique sites:
Sr  0.0271  0.0000  0.2802  1 In 3.44, 2 Pb 3.57
Sr  0.0983  0.5000  0.9496  1 Pb 3.55, 2 In 3.60, 4 Sr 3.90
Sr  0.1679  0.5000  0.4536  3 In 3.42-3.68, 1 Pb 3.56
Sr  0.1995  0.0000  0.7988  3 In 3.40-3.77
In  0.1810  0.0000  0.1926  9 Sr 3.40-3.77
Pb  0.0000  0.5000  0.5000  8 Sr 3.55-3.57

Formation enthalpy at 0 K ... -0.314 eV/atom
E above lowest polymorph ... 0.0 meV/atom

Compound: AcNb2CuO8
Source: Alexandria
Functional: GGA-PBE
Structure: optimized geometry

a b c (Å): 5.1202 5.1219 6.6424
angles (deg): 89.35 89.36 80.48
Closest atoms and distances in Å follow each position.
Space group P-1 (No. 2)
Unique sites:
Ac  0.0000  0.0000  0.0000  6 O 2.40-2.62
Nb  0.4659  0.4661  0.2742  4 O 1.84-2.00
Cu  0.0000  0.0000  0.5000  4 O 1.89
O  0.1932  0.7873  0.7002  1 Cu 1.89, 1 Nb 2.00
O  0.2141  0.8081  0.2998  1 Cu 1.89, 1 Nb 2.00
O  0.3265  0.3279  0.4999  1 Nb 1.84
O  0.3337  0.3350  0.0302  1 Nb 1.93

Formation energy from raw total energies ... -2.206 eV per atom

Result set for calculated density: 4.14; 5.84 g cm⁻³, one per record in the order listed.